[1]
Here is an optimized crystal structure of Cs3Ag2PbBr8 from the Alexandria database. Energies are from PBE-GGA.

Cell lengths 8.023, 8.023, 10.529 Å; angles 90.00, 90.00, 120.00 degrees
Sites, in units of the cell vectors:
Cs: 0.000 0.000 0.000
Cs: 0.333 0.667 0.623
Cs: 0.667 0.333 0.377
Ag: 0.333 0.667 0.192
Ag: 0.667 0.333 0.808
Pb: 0.000 0.000 0.500
Br: 0.168 0.336 0.333
Br: 0.168 0.832 0.333
Br: 0.333 0.667 0.953
Br: 0.336 0.168 0.667
Br: 0.664 0.832 0.333
Br: 0.667 0.333 0.047
Br: 0.832 0.168 0.667
Br: 0.832 0.664 0.667

Properties
- space group = No. 164
- E_form (uncorrected) (eV per atom) = -1.05

[2]
Here is an optimized crystal structure of PmNiAgPb from the Alexandria database. Energies are from PBE-GGA.

Cell lengths 4.932, 4.932, 4.932 Å; angles 60.00, 60.00, 60.00 degrees
Sites, in units of the cell vectors:
Pm: 0.000 0.000 0.000
Ni: 0.750 0.750 0.750
Ag: 0.250 0.250 0.250
Pb: 0.500 0.500 0.500

Properties
- space group = No. 216
- calculated formation energy (meV/atom) = -194.7